w | Material: Pm4Zn3Au
Method: DFT, PBE-GGA
State: relaxed

## Properties
magnetic moment: 0.00 Bohr magnetons per cell
symmetry: P4/mmm

Lattice parameters (Å, degrees): 3.690 3.690 14.487 90.00 90.00 90.00
Element x y z (fractional)
Zn  0.500  0.500  0.745
Zn  0.500  0.500  0.255
Zn  0.500  0.500  0.500
Au  0.500  0.500  0.000
Pm  0.000  0.000  0.375
Pm  0.000  0.000  0.625
Pm  0.000  0.000  0.873
Pm  0.000  0.000  0.127



x | Material: Pm4Zn3Au
Method: DFT, PBE-GGA
State: relaxed

## Properties
magnetic moment: 0.00 Bohr magnetons per cell
symmetry: Pmm2

Lattice parameters (Å, degrees): 3.732 4.598 11.751 90.00 90.00 90.00
Element x y z (fractional)
Pm  0.000  0.500  0.851
Pm  0.500  0.000  0.652
Pm  0.000  0.000  0.148
Pm  0.500  0.500  0.351
Zn  0.000  0.000  0.432
Zn  0.000  0.500  0.567
Zn  0.500  0.000  0.928
Au  0.500  0.500  0.071



w is favored, and the nearest alternative lies 3.6 kJ/mol of atoms above it.



w | Material: Pm3ZnAu
Method: DFT, PBE-GGA
State: relaxed

## Properties
magnetic moment: 0.00 Bohr magnetons per cell
symmetry: C2/c

Lattice parameters (Å, degrees): 7.155 9.448 9.448 67.88 100.58 100.58
Element x y z (fractional)
Pm  0.511  0.734  0.110
Pm  0.428  0.360  0.392
Pm  0.072  0.608  0.640
Pm  0.454  0.958  0.700
Pm  0.546  0.042  0.300
Pm  0.011  0.110  0.734
Pm  0.989  0.890  0.266
Pm  0.572  0.640  0.608
Pm  0.954  0.700  0.958
Pm  0.928  0.392  0.360
Pm  0.046  0.300  0.042
Pm  0.489  0.266  0.890
Zn  0.367  0.570  0.897
Zn  0.133  0.103  0.430
Zn  0.633  0.430  0.103
Zn  0.867  0.897  0.570
Au  0.750  0.028  0.972
Au  0.750  0.349  0.651
Au  0.250  0.972  0.028
Au  0.250  0.651  0.349



x | Material: Pm3ZnAu
Method: DFT, PBE-GGA
State: relaxed

## Properties
magnetic moment: 0.00 Bohr magnetons per cell
symmetry: Cmcm

Lattice parameters (Å, degrees): 5.220 5.220 10.246 90.00 75.24 90.00
Element x y z (fractional)
Pm  0.260  0.750  0.129
Pm  0.389  0.250  0.871
Pm  0.755  0.250  0.137
Pm  0.076  0.750  0.497
Pm  0.573  0.250  0.503
Pm  0.893  0.750  0.863
Zn  0.171  0.250  0.307
Zn  0.478  0.750  0.693
Au  0.662  0.750  0.323
Au  0.986  0.250  0.677



x is favored, and the nearest alternative lies 10.2 kJ/mol of atoms above it.



w | Material: PmZn3Au2
Method: DFT, PBE-GGA
State: relaxed

## Properties
magnetic moment: 0.00 Bohr magnetons per cell
symmetry: C2/m

Lattice parameters (Å, degrees): 4.169 8.239 8.014 115.63 90.00 104.65
Element x y z (fractional)
Zn  0.598  0.196  0.681
Zn  0.692  0.385  0.473
Zn  0.402  0.804  0.319
Zn  0.046  0.092  0.399
Zn  0.308  0.615  0.527
Zn  0.954  0.908  0.601
Au  0.475  0.949  0.814
Au  0.790  0.580  0.273
Au  0.210  0.420  0.727
Au  0.525  0.051  0.186
Pm  0.141  0.282  0.046
Pm  0.859  0.718  0.954



x | Material: PmZn3Au2
Method: DFT, PBE-GGA
State: relaxed

## Properties
magnetic moment: 0.00 Bohr magnetons per cell
symmetry: P6/mmm

Lattice parameters (Å, degrees): 4.236 9.798 9.798 120.00 90.00 90.00
Element x y z (fractional)
Pm  0.500  0.000  0.000
Pm  0.000  0.667  0.333
Pm  0.000  0.333  0.667
Zn  0.000  0.000  0.710
Zn  0.500  0.500  0.000
Zn  0.500  0.500  0.500
Zn  0.000  0.710  0.000
Zn  0.000  0.710  0.710
Zn  0.500  0.000  0.500
Zn  0.000  0.290  0.000
Zn  0.000  0.290  0.290
Zn  0.000  0.000  0.290
Au  0.500  0.613  0.807
Au  0.500  0.807  0.193
Au  0.500  0.387  0.193
Au  0.500  0.193  0.387
Au  0.500  0.193  0.807
Au  0.500  0.807  0.613



x is favored, and the nearest alternative lies 1.1 kJ/mol of atoms above it.